This record from Alexandria via LeMat-Bulk describes a geometry-optimized SmHoCoAg structure. The functional is PBE.

POSCAR file:
```
SmHoCoAg
1.0
4.987 0.000 0.000
2.493 4.318 0.000
2.493 1.439 4.071
Ag Co Ho Sm
1 1 1 1
direct
0.500 0.500 0.500 Ag
0.000 0.000 0.000 Co
0.750 0.750 0.750 Ho
0.250 0.250 0.250 Sm
```

Space-group type ... No. 216
Uncorrected energy ... -4.955 eV per atom
Size of the total moment ... 0.461 Bohr magnetons per cell
Formation enthalpy at 0 K ... -142 meV/atom